Computed, not measured: crystalline TmCo12B6 at its relaxed geometry at the PBE level of DFT.

a b c (Å): 5.9430 5.9430 5.9430
angles (deg): 104.03 104.03 104.03
Fractional positions:
Tm1 0.0000 0.0000 0.0000
Co1 0.1322 0.5000 0.8678
Co2 0.1322 0.8678 0.5000
Co3 0.1861 0.4548 0.4548
Co4 0.4548 0.1861 0.4548
Co5 0.4548 0.4548 0.1861
Co6 0.5000 0.1322 0.8678
Co7 0.5000 0.8678 0.1322
Co8 0.5452 0.5452 0.8139
Co9 0.5452 0.8139 0.5452
Co10 0.8139 0.5452 0.5452
Co11 0.8678 0.1322 0.5000
Co12 0.8678 0.5000 0.1322
B1 0.2330 0.2330 0.6792
B2 0.2330 0.6792 0.2330
B3 0.3208 0.7670 0.7670
B4 0.6792 0.2330 0.2330
B5 0.7670 0.3208 0.7670
B6 0.7670 0.7670 0.3208

Summary:
E_tot = -7.176 eV per atom
Total magnetic moment = 6.8 μB per cell

---

Computed, not measured: crystalline Tm4CoB13 at its relaxed geometry at the PBE level of DFT.

a b c (Å): 7.2410 7.2410 6.7971
angles (deg): 90.00 90.00 90.00
Fractional positions:
Tm1 0.1812 0.3157 0.0000
Tm2 0.1843 0.3188 0.5000
Tm3 0.3157 0.8188 0.0000
Tm4 0.3188 0.8157 0.5000
Tm5 0.6812 0.1843 0.5000
Tm6 0.6843 0.1812 0.0000
Tm7 0.8157 0.6812 0.5000
Tm8 0.8188 0.6843 0.0000
Co1 0.0000 0.0000 0.5000
Co2 0.5000 0.5000 0.0000
B1 0.0000 0.0000 0.0000
B2 0.0392 0.8295 0.2452
B3 0.0392 0.8295 0.7548
B4 0.0899 0.5899 0.2500
B5 0.0899 0.5899 0.7500
B6 0.1705 0.0392 0.2452
B7 0.1705 0.0392 0.7548
B8 0.3295 0.5392 0.2548
B9 0.3295 0.5392 0.7452
B10 0.4101 0.0899 0.2500
B11 0.4101 0.0899 0.7500
B12 0.4608 0.3295 0.2548
B13 0.4608 0.3295 0.7452
B14 0.5000 0.5000 0.5000
B15 0.5392 0.6705 0.2548
B16 0.5392 0.6705 0.7452
B17 0.5899 0.9101 0.2500
B18 0.5899 0.9101 0.7500
B19 0.6705 0.4608 0.2548
B20 0.6705 0.4608 0.7452
B21 0.8295 0.9608 0.2452
B22 0.8295 0.9608 0.7548
B23 0.9101 0.4101 0.2500
B24 0.9101 0.4101 0.7500
B25 0.9608 0.1705 0.2452
B26 0.9608 0.1705 0.7548

Summary:
E_tot = -6.729 eV per atom
Total magnetic moment = 0.0 μB per cell

---

Computed, not measured: crystalline TmCoB at its relaxed geometry at the PBE level of DFT.

a b c (Å): 5.9204 5.9204 5.9204
angles (deg): 90.00 90.00 90.00
Fractional positions:
Tm1 0.0000 0.0000 0.0000
Tm2 0.0000 0.5000 0.5000
Tm3 0.5000 0.0000 0.5000
Tm4 0.5000 0.5000 0.0000
Co1 0.2500 0.2500 0.2500
Co2 0.2500 0.7500 0.7500
Co3 0.7500 0.2500 0.7500
Co4 0.7500 0.7500 0.2500
B1 0.2500 0.2500 0.7500
B2 0.2500 0.7500 0.2500
B3 0.7500 0.2500 0.2500
B4 0.7500 0.7500 0.7500

Summary:
E_tot = -5.001 eV per atom
Total magnetic moment = 2.1 μB per cell
Energy relative to the lowest polymorph listed for this composition = 986.7 meV per atom

---

Computed, not measured: crystalline TmCoB at its relaxed geometry at the PBE level of DFT.

a b c (Å): 5.6807 5.6807 5.6807
angles (deg): 90.00 90.00 90.00
Fractional positions:
Tm1 0.0000 0.0000 0.0000
Tm2 0.0000 0.5000 0.5000
Tm3 0.5000 0.0000 0.5000
Tm4 0.5000 0.5000 0.0000
Co1 0.2500 0.2500 0.7500
Co2 0.2500 0.7500 0.2500
Co3 0.7500 0.2500 0.2500
Co4 0.7500 0.7500 0.7500
B1 0.0000 0.0000 0.5000
B2 0.0000 0.5000 0.0000
B3 0.5000 0.0000 0.0000
B4 0.5000 0.5000 0.5000

Summary:
E_tot = -5.685 eV per atom
Total magnetic moment = 0.0 μB per cell
Energy relative to the lowest polymorph listed for this composition = 303.2 meV per atom

---

Question: The lowest E_tot belongs to which entry?
Answer: TmCo12B6